A plane-wave DFT calculation with GGA+U was carried out for a relaxed structure of Li3W8O24.

a = 7.576 Å, b = 7.563 Å, c = 7.613 Å
α = 90.00°, β = 90.00°, γ = 90.00°
Site moments in Bohr magnetons follow the coordinates.
Atoms (fractional coordinates):
Li 0.000 0.500 0.500  0.00
Li 0.500 0.000 0.000  0.00
Li 0.000 0.000 0.500  0.00
W 0.750 0.749 0.751  0.27
W 0.250 0.251 0.249  0.27
W 0.750 0.251 0.249  0.27
W 0.250 0.749 0.751  0.27
W 0.750 0.749 0.249  0.27
W 0.250 0.251 0.751  0.27
W 0.750 0.251 0.751  0.27
W 0.250 0.749 0.249  0.27
O 0.500 0.791 0.713  -0.02
O 0.000 0.289 0.211  -0.02
O 0.000 0.711 0.789  -0.02
O 0.500 0.209 0.287  -0.02
O 0.500 0.209 0.713  -0.02
O 0.000 0.711 0.211  -0.02
O 0.000 0.289 0.789  -0.02
O 0.500 0.791 0.287  -0.02
O 0.207 0.298 0.500  -0.02
O 0.711 0.802 0.000  -0.03
O 0.289 0.198 0.000  -0.03
O 0.793 0.702 0.500  -0.02
O 0.793 0.298 0.500  -0.02
O 0.289 0.802 0.000  -0.03
O 0.711 0.198 0.000  -0.03
O 0.207 0.702 0.500  -0.02
O 0.708 0.500 0.212  -0.03
O 0.201 0.000 0.704  -0.01
O 0.799 0.000 0.296  -0.01
O 0.292 0.500 0.788  -0.03
O 0.708 0.500 0.788  -0.03
O 0.201 0.000 0.296  -0.01
O 0.799 0.000 0.704  -0.01
O 0.292 0.500 0.212  -0.03

Properties
- space-group type = Pmmm (47)
- distance to the lowest polymorph of the same formula (meV/atom) = 14